Record 1
! LiBMoOs | the Open Quantum Materials Database | PBE-GGA | relaxed; values from VASP
&SYSTEM
  ibrav = 0, nat = 4, ntyp = 4
/
ATOMIC_SPECIES
Li 6.94 Li.upf
B 10.81 B.upf
Mo 95.94 Mo.upf
Os 190.23 Os.upf
CELL_PARAMETERS angstrom
0.000 2.887 2.887
2.887 0.000 2.887
2.887 2.887 0.000
ATOMIC_POSITIONS crystal
Li 0.000 0.000 0.000
B 0.250 0.250 0.250
Mo 0.750 0.750 0.750
Os 0.500 0.500 0.500
! SG   F-43m
! Spin magnetization   0.00 μB per cell
! Energy above the lowest structure with this stoichiometry   0.0000 eV per atom


Record 2
! LiBMoOs | the Open Quantum Materials Database | PBE-GGA | relaxed; values from VASP
&SYSTEM
  ibrav = 0, nat = 4, ntyp = 4
/
ATOMIC_SPECIES
Li 6.94 Li.upf
B 10.81 B.upf
Mo 95.94 Mo.upf
Os 190.23 Os.upf
CELL_PARAMETERS angstrom
0.000 2.813 2.813
2.813 0.000 2.813
2.813 2.813 0.000
ATOMIC_POSITIONS crystal
Li 0.000 0.000 0.000
B 0.500 0.500 0.500
Mo 0.750 0.750 0.750
Os 0.250 0.250 0.250
! SG   F-43m
! Spin magnetization   0.07 μB per cell
! Energy above the lowest structure with this stoichiometry   0.1962 eV per atom


Record 3
! LiNbB | the Open Quantum Materials Database | PBE-GGA | relaxed; values from VASP
&SYSTEM
  ibrav = 0, nat = 3, ntyp = 3
/
ATOMIC_SPECIES
Li 6.94 Li.upf
Nb 92.91 Nb.upf
B 10.81 B.upf
CELL_PARAMETERS angstrom
0.000 2.731 2.731
2.731 0.000 2.731
2.731 2.731 0.000
ATOMIC_POSITIONS crystal
Li 0.000 0.000 0.000
Nb 0.750 0.750 0.750
B 0.500 0.500 0.500
! SG   F-43m
! Spin magnetization   0.29 μB per cell
! Energy above the lowest structure with this stoichiometry   0.8163 eV per atom